A.
Li2P2Pt | Alexandria | GGA-PBEsol | relaxed; total magnetic moment = 0.0 μB per cell; calculated volume = 13.49 Å³/atom; D(E_F) = 2.4 states/eV per cell
1.0
-1.436 1.729 6.789
1.436 -1.729 6.789
1.436 1.729 -6.789
Li P Pt
2 2 1
Cartesian
0.000 0.000 2.666 Li
0.000 0.000 10.911 Li
0.000 0.000 5.355 P
0.000 0.000 8.222 P
0.000 0.000 0.000 Pt



B.
Li2P2Pt | Alexandria | GGA-PBEsol | relaxed; total magnetic moment = 0.0 μB per cell; calculated volume = 14.71 Å³/atom; D(E_F) = 2.7 states/eV per cell
1.0
5.945 0.000 0.000
0.000 5.945 0.000
0.000 0.000 4.161
Li P Pt
4 4 2
Cartesian
1.050 1.922 0.000 Li
1.922 4.895 0.000 Li
4.023 1.050 0.000 Li
4.895 4.023 0.000 Li
0.776 3.749 2.081 P
2.196 0.776 2.081 P
3.749 5.169 2.081 P
5.169 2.196 2.081 P
0.000 0.000 2.081 Pt
2.972 2.972 2.081 Pt



Going by the energies, B is most stable and the next is 52.4 kJ/mol of atoms up.



A.
Li2SbP | Alexandria | GGA-PBEsol | relaxed; total magnetic moment = 0.0 μB per cell; calculated volume = 17.58 Å³/atom; D(E_F) = 1.4 states/eV per cell
1.0
2.963 0.000 0.000
0.000 2.963 0.000
0.000 0.000 8.012
Li Sb P
2 1 1
Cartesian
0.000 0.000 1.610 Li
0.000 0.000 6.402 Li
1.481 1.481 4.006 Sb
1.481 1.481 0.000 P



B.
Li2SbP | Alexandria | GGA-PBEsol | relaxed; total magnetic moment = 0.0 μB per cell; calculated volume = 17.87 Å³/atom; D(E_F) = 1.4 states/eV per cell
1.0
3.050 0.000 0.000
0.000 3.050 0.000
0.000 0.000 7.686
Li Sb P
2 1 1
Cartesian
0.000 0.000 0.000 Li
1.525 1.525 1.622 Li
1.525 1.525 5.751 Sb
0.000 0.000 2.765 P



Going by the energies, A is most stable and the next is 27.5 kJ/mol of atoms up.



A.
Li10SnP2Se12 | Alexandria | GGA-PBEsol | relaxed; total magnetic moment = 0.0 μB per cell; calculated volume = 22.11 Å³/atom
1.0
9.157 0.000 0.000
0.000 9.157 0.000
0.000 0.000 13.181
Li Sn P Se
20 2 4 24
Cartesian
0.000 0.000 0.000 Li
0.000 0.000 6.591 Li
1.941 2.518 4.307 Li
1.941 6.639 4.307 Li
2.366 2.439 0.966 Li
2.366 6.718 0.966 Li
2.439 2.366 7.557 Li
2.439 6.791 7.557 Li
2.518 1.941 10.898 Li
2.518 7.216 10.898 Li
4.579 4.579 1.180 Li
4.579 4.579 7.771 Li
6.639 1.941 10.898 Li
6.639 7.216 10.898 Li
6.718 2.366 7.557 Li
6.718 6.791 7.557 Li
6.791 2.439 0.966 Li
6.791 6.718 0.966 Li
7.216 2.518 4.307 Li
7.216 6.639 4.307 Li
4.579 4.579 4.547 Sn
4.579 4.579 11.138 Sn
0.000 0.000 3.236 P
0.000 0.000 9.827 P
0.000 4.579 7.338 P
4.579 0.000 0.747 P
0.000 1.825 11.068 Se
0.000 1.871 2.022 Se
0.000 2.731 6.078 Se
0.000 6.426 6.078 Se
0.000 7.286 2.022 Se
0.000 7.332 11.068 Se
1.801 4.579 8.599 Se
1.825 0.000 4.477 Se
1.871 0.000 8.613 Se
2.481 4.579 12.555 Se
2.541 4.579 3.042 Se
2.731 0.000 12.668 Se
4.579 1.801 2.008 Se
4.579 2.481 5.965 Se
4.579 2.541 9.633 Se
4.579 6.616 9.633 Se
4.579 6.676 5.965 Se
4.579 7.356 2.008 Se
6.426 0.000 12.668 Se
6.616 4.579 3.042 Se
6.676 4.579 12.555 Se
7.286 0.000 8.613 Se
7.332 0.000 4.477 Se
7.356 4.579 8.599 Se



B.
Li10SnP2Se12 | Alexandria | GGA-PBEsol | relaxed; total magnetic moment = 0.0 μB per cell; calculated volume = 22.17 Å³/atom
1.0
8.765 0.000 0.000
-0.008 9.412 0.000
-0.081 -0.726 13.439
Li Sn P Se
20 2 4 24
Cartesian
0.000 0.000 0.000 Li
-0.029 4.402 4.367 Li
0.181 9.094 3.595 Li
1.752 2.828 0.888 Li
1.935 2.382 8.011 Li
3.953 5.313 5.502 Li
4.081 0.038 0.062 Li
4.127 9.043 3.653 Li
4.133 0.090 7.364 Li
4.215 4.515 1.569 Li
4.155 4.396 11.971 Li
4.183 4.724 8.816 Li
4.409 0.083 10.653 Li
6.047 2.462 5.186 Li
6.399 6.711 9.423 Li
6.480 6.808 2.454 Li
8.449 0.128 6.872 Li
8.460 -0.158 10.384 Li
8.585 4.700 8.776 Li
8.585 4.318 12.237 Li
1.976 1.910 11.117 Sn
6.560 6.972 6.198 Sn
2.025 6.834 1.967 P
2.179 2.161 4.344 P
6.309 6.780 12.806 P
6.350 2.456 8.456 P
0.223 6.556 3.190 Se
0.398 2.293 3.017 Se
1.952 3.836 5.790 Se
2.033 8.975 1.400 Se
1.993 4.230 10.078 Se
2.133 5.373 0.288 Se
2.095 0.102 9.345 Se
2.134 0.204 5.402 Se
3.871 6.457 3.177 Se
3.980 1.729 12.659 Se
4.065 2.287 3.178 Se
4.380 6.905 7.530 Se
4.509 2.770 7.224 Se
4.524 7.048 11.506 Se
6.329 5.075 4.509 Se
6.337 0.333 9.075 Se
6.395 5.430 0.154 Se
6.410 9.002 1.006 Se
6.380 3.982 10.080 Se
6.574 -0.262 4.863 Se
8.137 2.774 7.153 Se
8.157 6.918 11.576 Se
8.524 7.019 7.763 Se
8.609 1.619 12.425 Se



Going by the energies, B is most stable and the next is 1.1 kJ/mol of atoms up.



A.
Li2TeP | Alexandria | GGA-PBEsol | relaxed; total magnetic moment = 0.0 μB per cell; calculated volume = 18.72 Å³/atom; D(E_F) = 1.2 states/eV per cell
1.0
-1.695 2.121 5.206
1.695 -2.121 5.206
1.695 2.121 -5.206
Li Te P
2 1 1
Cartesian
0.000 0.000 0.000 Li
0.000 2.121 2.105 Li
0.000 0.000 4.188 Te
1.695 0.000 2.100 P



B.
Li2TeP | Alexandria | GGA-PBEsol | relaxed; total magnetic moment = 0.0 μB per cell; calculated volume = 17.69 Å³/atom; D(E_F) = 1.1 states/eV per cell
1.0
-1.940 2.264 4.026
1.940 -2.264 4.026
1.940 2.264 -4.026
Li Te P
2 1 1
Cartesian
0.000 0.000 1.866 Li
0.000 0.000 6.187 Li
0.000 2.264 0.000 Te
1.940 0.000 0.000 P



C.
Li2TeP | Alexandria | GGA-PBEsol | relaxed; total magnetic moment = 0.0 μB per cell; calculated volume = 18.96 Å³/atom; D(E_F) = 1.2 states/eV per cell
1.0
0.000 3.360 3.360
3.360 0.000 3.360
3.360 3.360 0.000
Li Te P
2 1 1
Cartesian
0.000 0.000 0.000 Li
1.680 1.680 1.680 Li
3.360 3.360 3.360 Te
5.040 5.040 5.040 P



Going by the energies, B is most stable and the next is 6.8 kJ/mol of atoms up.



A.
LiTl2P | Alexandria | GGA-PBEsol | relaxed; total magnetic moment = 0.0 μB per cell; calculated volume = 22.39 Å³/atom; D(E_F) = 1.7 states/eV per cell
1.0
-1.976 2.540 4.462
1.976 -2.540 4.462
1.976 2.540 -4.462
Li Tl P
1 2 1
Cartesian
0.000 0.000 0.000 Li
1.976 0.000 2.628 Tl
0.000 0.000 5.179 Tl
0.000 2.540 2.840 P



B.
LiTl2P | Alexandria | GGA-PBEsol | relaxed; total magnetic moment = 0.0 μB per cell; calculated volume = 22.76 Å³/atom; D(E_F) = 0.4 states/eV per cell
1.0
0.000 3.570 3.570
3.570 0.000 3.570
3.570 3.570 0.000
Li Tl P
1 2 1
Cartesian
0.000 0.000 0.000 Li
1.785 1.785 1.785 Tl
3.570 3.570 3.570 Tl
5.356 5.356 5.356 P



Going by the energies, A is most stable and the next is 2.9 kJ/mol of atoms up.



A.
LiTlP2 | Alexandria | GGA-PBEsol | relaxed; total magnetic moment = 0.0 μB per cell; calculated volume = 20.18 Å³/atom; D(E_F) = 1.3 states/eV per cell
1.0
4.421 -1.631 0.000
4.421 1.631 0.000
-0.972 0.000 5.598
Li Tl P
1 1 2
Cartesian
0.000 0.000 0.000 Li
3.935 0.000 2.799 Tl
1.444 0.000 4.862 P
6.425 0.000 0.735 P



B.
LiTlP2 | Alexandria | GGA-PBEsol | relaxed; total magnetic moment = 0.0 μB per cell; calculated volume = 18.00 Å³/atom; D(E_F) = 1.1 states/eV per cell
1.0
2.792 0.000 0.000
0.000 2.792 0.000
0.000 0.000 9.240
Li Tl P
1 1 2
Cartesian
0.000 0.000 0.000 Li
0.000 0.000 4.620 Tl
1.396 1.396 1.849 P
1.396 1.396 7.390 P



C.
LiTlP2 | Alexandria | GGA-PBEsol | relaxed; total magnetic moment = 0.0 μB per cell; calculated volume = 17.98 Å³/atom; D(E_F) = 3.2 states/eV per cell
1.0
0.000 3.301 3.301
3.301 0.000 3.301
3.301 3.301 0.000
Li Tl P
1 1 2
Cartesian
0.000 0.000 0.000 Li
1.650 1.650 1.650 Tl
3.301 3.301 3.301 P
4.951 4.951 4.951 P



D.
LiTlP2 | Alexandria | GGA-PBEsol | relaxed; total magnetic moment = 0.0 μB per cell; calculated volume = 23.05 Å³/atom; D(E_F) = 5.6 states/eV per cell
1.0
-3.088 3.088 4.835
3.088 -3.088 4.835
3.088 3.088 -4.835
Li Tl P
2 2 4
Cartesian
0.000 0.000 0.000 Li
0.000 3.088 2.418 Li
3.088 0.000 2.418 Tl
0.000 0.000 4.835 Tl
4.632 1.431 -1.209 P
1.431 1.544 1.209 P
-1.544 1.658 3.626 P
1.658 1.544 6.044 P



Going by the energies, A is most stable and the next is 29.5 kJ/mol of atoms up.